1.
Compound: SrLaSe2
Source: Alexandria via LeMat-Bulk
Functional: PBE-GGA
Structure: optimized geometry

The structure in extended XYZ format:
```
12
Lattice="4.5890 0.0000 0.0000 -2.2945 3.9742 0.0000 0.0000 0.0000 26.5464" Properties=species:S:1:pos:R:3 pbc="T T T"
Sr 0.0000 0.0000 0.0000
Sr 0.0000 2.6494 17.6976
Sr 2.2945 1.3247 8.8488
La 0.0000 0.0000 13.2732
La 0.0000 2.6494 4.4244
La 2.2945 1.3247 22.1220
Se 0.0000 0.0000 10.5080
Se 0.0000 0.0000 16.0384
Se 0.0000 2.6494 1.6592
Se 0.0000 2.6494 7.1896
Se 2.2945 1.3247 19.3568
Se 2.2945 1.3247 24.8872
```

## Properties
Density (kg/m³): 3956
Crystal system: trigonal
Distance to the lowest polymorph of the same formula (meV per atom): 644
Electronic total energy (eV/atom): -4.751
Size of the total moment (μB per atom): 0.129
Formation energy from raw total energies (eV/atom): -1.357

2.
Compound: BaIrRh2
Source: Alexandria via LeMat-Bulk
Functional: PBE-GGA
Structure: optimized geometry

The structure in extended XYZ format:
```
12
Lattice="4.4590 0.0000 0.0000 -2.2295 3.8616 0.0000 0.0000 0.0000 16.7518" Properties=species:S:1:pos:R:3 pbc="T T T"
Ba 0.0000 0.0000 0.0000
Ba 0.0000 2.5744 11.1679
Ba 2.2295 1.2872 5.5839
Ir 0.0000 0.0000 8.3759
Ir 0.0000 2.5744 2.7920
Ir 2.2295 1.2872 13.9598
Rh 0.0000 0.0000 3.1404
Rh 0.0000 0.0000 13.6114
Rh 0.0000 2.5744 8.0274
Rh 0.0000 2.5744 14.3083
Rh 2.2295 1.2872 2.4435
Rh 2.2295 1.2872 8.7244
```

## Properties
Density (kg/m³): 9246
Crystal system: trigonal
Energy relative to the elements (eV/f.u.): -0.09
Distance to the lowest polymorph of the same formula (meV per atom): 0
Electronic total energy (eV/atom): -6.393
Size of the total moment (μB per atom): 0.401

3.
Compound: Pr2ThMg
Source: Alexandria via LeMat-Bulk
Functional: PBE-GGA
Structure: optimized geometry

The structure in extended XYZ format:
```
4
Lattice="5.0424 0.0000 0.0000 0.0000 5.0424 0.0000 0.0000 0.0000 5.0117" Properties=species:S:1:pos:R:3 pbc="T T T"
Pr 0.0000 2.5212 0.0000
Pr 2.5212 0.0000 0.0000
Th 0.0000 0.0000 2.5058
Mg 2.5212 2.5212 2.5058
```

## Properties
Density (kg/m³): 7013
Crystal system: tetragonal
Energy relative to the elements (eV/f.u.): 0.19
Distance to the lowest polymorph of the same formula (meV per atom): 91
Electronic total energy (eV/atom): -4.596
Size of the total moment (μB per atom): 0.000